Entry from the Alexandria database: KMgMo2S after structural relaxation (PBE).

abc: 4.5534 4.5534 5.2236
angles: 90.00 90.00 90.00
Closest atoms and distances in Å follow each position.
Space group P4/mmm (No. 123)
Inequivalent atoms, fractional coordinates:
K: 0.0000 0.0000 0.0000 (multiplicity 1)  4 Mg 3.22, 8 Mo 3.46
Mg: 0.5000 0.5000 0.0000 (multiplicity 1)  2 S 2.61
Mo: 0.0000 0.5000 0.5000 (multiplicity 2)  2 S 2.28
S: 0.5000 0.5000 0.5000 (multiplicity 1)  4 Mo 2.28

Output
E in eV/cell: -24.643
Size of the total moment in μB/atom: 0.0005
Formation energy without anion corrections in eV/atom: 0.768